# 1
YTmGaSn: relaxed, PBE.

POSCAR file:
```
YTmGaSn
1.0
-0.002 0.867 4.347
-3.803 -1.606 0.319
2.190 -5.419 -1.179
Y Tm Ga Sn
1 1 1 1
direct
0.136 0.000 0.271 Y
0.857 0.500 0.715 Tm
0.588 0.500 0.177 Ga
0.419 0.000 0.837 Sn
```

Calculated values
**M_tot**: 0.0 μB per cell
**VASP energy**: -0.38145 Ry per atom
**Excess energy over the best structure of this formula in the dataset**: 0.0 meV per atom
**Energy of formation**: -2.8 eV/f.u.



# 2
Er2Hg2Pd3: relaxed, PBE.

POSCAR file:
```
Er2Hg2Pd3
1.0
-3.282 2.618 0.725
-4.514 -4.797 -3.120
1.755 -2.474 4.359
Hg Er Pd
2 2 3
direct
0.124 0.426 0.248 Hg
0.876 0.574 0.752 Hg
0.625 0.801 0.250 Er
0.375 0.199 0.750 Er
0.675 0.198 0.349 Pd
0.325 0.802 0.651 Pd
0.000 0.000 0.000 Pd
```

Calculated values
**M_tot**: 0.0 μB per cell
**VASP energy**: -0.31547 Ry per atom
**Energy of formation**: -4.7 eV/f.u.



# 3
Tl2GaNiBi: relaxed, PBE.

POSCAR file:
```
Tl2GaNiBi
1.0
5.089 0.000 0.000
0.000 5.287 0.000
0.000 0.000 5.089
Bi Ga Tl Ni
1 1 2 1
direct
0.000 0.500 0.000 Bi
0.500 0.500 0.500 Ga
0.500 0.000 0.000 Tl
0.000 0.000 0.500 Tl
0.000 0.000 0.000 Ni
```

Calculated values
**M_tot**: 0.0 μB per cell
**VASP energy**: -0.24154 Ry per atom
**Energy of formation**: 1.0 eV/f.u.



# 4
NdBe2AlPd5: relaxed, PBE.

POSCAR file:
```
NdBe2AlPd5
1.0
-2.310 3.717 -0.563
-1.062 -0.011 4.283
5.880 3.877 1.469
Nd Pd Be Al
1 5 2 1
direct
0.000 0.000 0.500 Nd
0.000 0.500 0.204 Pd
0.500 0.000 0.204 Pd
0.500 0.000 0.796 Pd
0.000 0.500 0.796 Pd
0.500 0.500 0.500 Pd
0.500 0.500 0.161 Be
0.500 0.500 0.839 Be
0.000 0.000 0.000 Al
```

Calculated values
**M_tot**: 0.0 μB per cell
**VASP energy**: -0.38592 Ry per atom
**Energy of formation**: -5.3 eV/f.u.



# 5
Na4Mn: relaxed, PBE.

POSCAR file:
```
Na4Mn
1.0
5.890 0.000 0.000
0.000 5.890 0.000
0.000 0.000 5.890
Na Mn
4 1
direct
0.000 0.500 0.500 Na
0.500 0.000 0.500 Na
0.500 0.500 0.000 Na
0.000 0.000 0.000 Na
0.500 0.500 0.500 Mn
```

Calculated values
**M_tot**: 4.4 μB per cell
**VASP energy**: -0.16677 Ry per atom
**Energy of formation**: 3.1 eV/f.u.



# 6
Cs2RbDyBr6: relaxed, PBE.

POSCAR file:
```
Cs2RbDyBr6
1.0
-1.193 2.585 7.838
-8.138 -3.167 -0.194
3.994 -10.514 4.103
Cs Rb Br Dy
4 2 12 2
direct
0.021 0.934 0.251 Cs
0.979 0.066 0.749 Cs
0.521 0.566 0.751 Cs
0.479 0.434 0.249 Cs
0.500 0.000 0.000 Rb
0.000 0.500 0.500 Rb
0.327 0.731 0.449 Br
0.907 0.528 0.225 Br
0.093 0.472 0.775 Br
0.226 0.179 0.456 Br
0.726 0.321 0.956 Br
0.827 0.769 0.949 Br
0.173 0.231 0.051 Br
0.593 0.028 0.275 Br
0.274 0.679 0.044 Br
0.673 0.269 0.551 Br
0.407 0.972 0.725 Br
0.774 0.821 0.544 Br
0.000 0.500 0.000 Dy
0.500 0.000 0.500 Dy
```

Calculated values
**M_tot**: 0.0 μB per cell
**VASP energy**: -0.26470 Ry per atom
**Formation energy without anion corrections**: -1804 kJ/mol of formula units



# 7
SrInPt: relaxed, PBE.

POSCAR file:
```
SrInPt
1.0
-2.161 -1.688 3.541
6.540 0.106 4.042
-2.693 12.125 4.137
Pt In Sr
6 6 6
direct
0.250 0.732 0.248 Pt
0.250 0.772 0.908 Pt
0.750 0.228 0.092 Pt
0.250 0.223 0.422 Pt
0.750 0.268 0.752 Pt
0.750 0.777 0.578 Pt
0.250 0.849 0.455 In
0.750 0.011 0.913 In
0.750 0.639 0.795 In
0.750 0.151 0.545 In
0.250 0.989 0.087 In
0.250 0.361 0.205 In
0.750 0.029 0.290 Sr
0.250 0.473 0.623 Sr
0.750 0.527 0.377 Sr
0.750 0.649 0.079 Sr
0.250 0.351 0.921 Sr
0.250 0.971 0.710 Sr
```

Calculated values
**M_tot**: 0.0 μB per cell
**VASP energy**: -0.31296 Ry per atom
**Energy of formation**: -2.3 eV/f.u.



# 8
TbPrNdGd: relaxed, PBE.

POSCAR file:
```
TbPrNdGd
1.0
-2.958 1.671 -4.684
-2.575 -3.948 -3.356
-5.771 -0.411 -0.077
Tb Pr Gd Nd
1 1 1 1
direct
0.750 0.750 0.750 Tb
0.500 0.500 0.500 Pr
0.000 0.000 0.000 Gd
0.250 0.250 0.250 Nd
```

Calculated values
**M_tot**: 9.0 μB per cell
**VASP energy**: -0.51041 Ry per atom
**Energy of formation**: 0.5 eV/f.u.



# 9
LiTlGe2I: relaxed, PBE.

POSCAR file:
```
LiTlGe2I
1.0
-1.385 4.220 -1.981
-2.377 -2.866 -4.444
-4.213 -0.250 2.415
Tl Ge Li I
1 2 1 1
direct
0.500 0.500 0.500 Tl
0.500 0.000 0.000 Ge
0.000 0.000 0.500 Ge
0.000 0.000 0.000 Li
0.000 0.500 0.000 I
```

Calculated values
**M_tot**: 0.0 μB per cell
**VASP energy**: -0.20036 Ry per atom
**Formation energy without anion corrections**: 138 kJ/mol of formula units



# 10
CaPrCo4: relaxed, PBE.

POSCAR file:
```
CaPrCo4
1.0
5.165 0.000 0.000
2.582 4.473 0.000
2.582 1.491 4.217
Co Pr Ca
4 1 1
direct
0.125 0.625 0.625 Co
0.625 0.625 0.625 Co
0.625 0.125 0.625 Co
0.625 0.625 0.125 Co
0.250 0.250 0.250 Pr
0.000 0.000 0.000 Ca
```

Calculated values
**M_tot**: 4.8 μB per cell
**VASP energy**: -0.42785 Ry per atom
**Energy of formation**: 0.3 eV/f.u.



# 11
Rb3Tb2BiS6: relaxed, PBE.

POSCAR file:
```
Rb3Tb2BiS6
1.0
-4.973 -3.283 3.976
6.359 1.644 2.859
-3.216 7.377 -0.081
S Rb Bi Tb
6 3 1 2
direct
0.276 0.276 0.806 S
0.935 0.594 0.805 S
0.406 0.065 0.195 S
0.065 0.406 0.195 S
0.724 0.724 0.194 S
0.594 0.935 0.805 S
0.165 0.835 0.500 Rb
0.500 0.500 0.500 Rb
0.835 0.165 0.500 Rb
0.000 0.000 0.000 Bi
0.667 0.333 0.000 Tb
0.333 0.667 0.000 Tb
```

Calculated values
**M_tot**: 0.0 μB per cell
**VASP energy**: -0.36011 Ry per atom
**Formation energy without anion corrections**: -1735 kJ/mol of formula units



# 12
ReHg2Pb: relaxed, PBE.

POSCAR file:
```
ReHg2Pb
1.0
-0.813 -2.724 1.172
-0.489 -1.076 -2.839
9.421 -3.018 -0.478
Pb Hg Re
1 2 1
direct
0.000 0.000 0.548 Pb
0.500 0.500 0.226 Hg
0.000 0.000 0.960 Hg
0.500 0.500 0.765 Re
```

Calculated values
**M_tot**: 1.0 μB per cell
**VASP energy**: -0.25437 Ry per atom
**Energy of formation**: 2.9 eV/f.u.



# 13
Y2CuF2: relaxed, PBE.

POSCAR file:
```
Y2CuF2
1.0
-2.339 -0.743 -4.101
3.150 -3.395 -1.182
-1.788 -4.707 -0.912
Y F Cu
2 2 1
direct
0.250 0.750 0.500 Y
0.750 0.250 0.500 Y
0.318 0.318 0.365 F
0.682 0.682 0.635 F
0.000 0.000 0.000 Cu
```

Calculated values
**M_tot**: 0.0 μB per cell
**VASP energy**: -0.43245 Ry per atom
**Excess energy over the best structure of this formula in the dataset**: 0.0 meV per atom
**Formation energy without anion corrections**: -835 kJ/mol of formula units



# 14
LiHfC: relaxed, PBE.

POSCAR file:
```
LiHfC
1.0
-0.327 1.083 -3.386
-7.891 -2.580 -0.063
-1.431 4.339 1.526
Hf Li C
4 4 4
direct
0.500 0.447 0.250 Hf
0.000 0.553 0.750 Hf
0.000 0.946 0.250 Hf
0.500 0.054 0.750 Hf
0.500 0.750 0.999 Li
0.500 0.750 0.500 Li
0.000 0.250 0.000 Li
0.000 0.250 0.499 Li
0.000 0.890 0.750 C
0.500 0.389 0.750 C
0.000 0.611 0.250 C
0.500 0.110 0.250 C
```

Calculated values
**M_tot**: 0.0 μB per cell
**VASP energy**: -0.51973 Ry per atom
**Excess energy over the best structure of this formula in the dataset**: 411.7 meV per atom
**Energy of formation**: -0.1 eV/f.u.



# 15
Ba2SrH6Os: relaxed, PBE.

POSCAR file:
```
Ba2SrH6Os
1.0
-5.982 -2.833 -0.772
0.647 -2.714 4.946
-2.416 5.137 -0.125
Sr Os Ba H
1 1 2 6
direct
0.500 0.000 0.000 Sr
0.000 0.000 0.000 Os
0.838 0.667 0.333 Ba
0.162 0.333 0.667 Ba
0.156 0.285 0.142 H
0.844 0.142 0.858 H
0.844 0.715 0.858 H
0.844 0.142 0.285 H
0.156 0.858 0.715 H
0.156 0.858 0.142 H
```

Calculated values
**M_tot**: 0.0 μB per cell
**VASP energy**: -0.30223 Ry per atom



# 16
MnZn2GaIr: relaxed, PBE.

POSCAR file:
```
MnZn2GaIr
1.0
4.806 0.000 0.000
0.000 4.710 0.000
0.000 0.000 4.806
Ga Zn Ir Mn
1 2 1 1
direct
0.000 0.500 0.000 Ga
0.000 0.000 0.500 Zn
0.500 0.000 0.000 Zn
0.000 0.000 0.000 Ir
0.500 0.500 0.500 Mn
```

Calculated values
**M_tot**: 5.0 μB per cell
**VASP energy**: -0.31771 Ry per atom
**Energy of formation**: 2.0 eV/f.u.



# 17
K2ZnHg6: relaxed, PBE.

POSCAR file:
```
K2ZnHg6
1.0
6.257 0.003 3.614
2.084 5.900 3.614
0.004 0.003 7.225
Hg Zn K
6 1 2
direct
0.774 0.226 0.226 Hg
0.226 0.226 0.774 Hg
0.774 0.226 0.774 Hg
0.226 0.774 0.226 Hg
0.226 0.774 0.774 Hg
0.774 0.774 0.226 Hg
0.500 0.500 0.500 Zn
0.750 0.750 0.750 K
0.250 0.250 0.250 K
```

Calculated values
**M_tot**: 0.0 μB per cell
**VASP energy**: -0.05408 Ry per atom
**Energy of formation**: -1.3 eV/f.u.



# 18
Ni2RuCl: relaxed, PBE.

POSCAR file:
```
Ni2RuCl
1.0
4.078 0.000 0.000
0.000 3.608 0.000
0.000 0.000 3.608
Ni Cl Ru
2 1 1
direct
0.000 0.500 0.500 Ni
0.000 0.000 0.000 Ni
0.500 0.000 0.500 Cl
0.500 0.500 0.000 Ru
```

Calculated values
**M_tot**: 2.4 μB per cell
**VASP energy**: -0.35497 Ry per atom
**Excess energy over the best structure of this formula in the dataset**: 573.1 meV per atom
**Formation energy without anion corrections**: 325 kJ/mol of formula units



# 19
MgTe2Au: relaxed, PBE.

POSCAR file:
```
MgTe2Au
1.0
4.161 0.000 0.000
0.000 4.662 -0.006
0.000 1.630 5.486
Te Mg Au
2 1 1
direct
0.000 0.007 0.006 Te
0.000 0.493 0.494 Te
0.500 0.750 0.750 Mg
0.500 0.250 0.250 Au
```

Calculated values
**M_tot**: 0.0 μB per cell
**VASP energy**: -0.21898 Ry per atom
**Formation energy without anion corrections**: -74 kJ/mol of formula units



# 20
Pr2Si2HRh2: relaxed, PBE.

POSCAR file:
```
Pr2Si2HRh2
1.0
4.191 0.000 0.000
2.096 5.402 -0.646
2.096 1.374 5.290
Si Rh H Pr
2 2 1 2
direct
0.150 0.404 0.295 Si
0.850 0.596 0.705 Si
0.788 0.318 0.105 Rh
0.212 0.682 0.895 Rh
0.000 0.000 0.000 H
0.563 0.167 0.706 Pr
0.437 0.833 0.294 Pr
```

Calculated values
**M_tot**: 0.0 μB per cell
**VASP energy**: -0.46524 Ry per atom



# 21
Ti2SnW: relaxed, PBE.

POSCAR file:
```
Ti2SnW
1.0
7.446 0.000 0.000
0.000 7.446 0.000
3.723 3.723 2.774
Ti Sn W
4 2 2
direct
0.661 0.125 0.250 Ti
0.375 0.339 0.750 Ti
0.089 0.625 0.250 Ti
0.875 0.911 0.750 Ti
0.250 0.750 0.500 Sn
0.500 0.500 0.000 Sn
0.000 0.000 0.000 W
0.750 0.250 0.500 W
```

Calculated values
**M_tot**: 0.0 μB per cell
**VASP energy**: -0.56538 Ry per atom
**Energy of formation**: 2.0 eV/f.u.



# 22
SiHg3Ge: relaxed, PBE.

POSCAR file:
```
SiHg3Ge
1.0
5.260 0.000 0.000
0.000 5.260 0.000
0.000 0.000 5.260
Si Hg Ge
1 3 1
direct
0.500 0.500 0.500 Si
0.000 0.000 0.500 Hg
0.000 0.500 0.000 Hg
0.500 0.000 0.000 Hg
0.000 0.000 0.000 Ge
```

Calculated values
**M_tot**: 0.0 μB per cell
**VASP energy**: -0.10495 Ry per atom
**Excess energy over the best structure of this formula in the dataset**: 183.2 meV per atom
**Formation energy without anion corrections**: 367 kJ/mol of formula units



# 23
YLuCu: relaxed, PBE.

POSCAR file:
```
YLuCu
1.0
3.820 0.000 0.000
0.000 4.724 0.000
0.000 -2.362 4.091
Cu Lu Y
1 1 1
direct
0.295 0.333 0.667 Cu
0.096 0.000 0.000 Lu
0.609 0.667 0.333 Y
```

Calculated values
**M_tot**: 0.0 μB per cell
**VASP energy**: -0.36692 Ry per atom
**Excess energy over the best structure of this formula in the dataset**: 182.9 meV per atom
**Energy of formation**: 0.1 eV/f.u.



# 24
YTa3Ge: relaxed, PBE.

POSCAR file:
```
YTa3Ge
1.0
4.942 0.000 0.000
0.000 4.942 0.000
0.000 0.000 4.942
Ge Ta Y
1 3 1
direct
0.500 0.500 0.500 Ge
0.000 0.000 0.500 Ta
0.500 0.000 0.000 Ta
0.000 0.500 0.000 Ta
0.000 0.000 0.000 Y
```

Calculated values
**M_tot**: 0.0 μB per cell
**VASP energy**: -0.50750 Ry per atom
**Excess energy over the best structure of this formula in the dataset**: 1690.5 meV per atom
**Energy of formation**: 12.1 eV/f.u.



# 25
CaY: relaxed, PBE.

POSCAR file:
```
CaY
1.0
12.564 -0.014 -0.008
12.028 3.631 -0.008
12.028 1.769 3.171
Y Ca
2 2
direct
0.246 0.246 0.246 Y
0.504 0.504 0.504 Y
0.997 0.997 0.997 Ca
0.753 0.753 0.753 Ca
```

Calculated values
**M_tot**: 0.0 μB per cell
**VASP energy**: -0.30644 Ry per atom
**Excess energy over the best structure of this formula in the dataset**: 15.3 meV per atom
**Energy of formation**: 0.1 eV/f.u.



# 26
CsSrAlPd2: relaxed, PBE.

POSCAR file:
```
CsSrAlPd2
1.0
-3.167 -4.194 0.512
4.883 -3.799 -0.911
0.922 -0.062 5.199
Al Sr Pd Cs
1 1 2 1
direct
0.500 0.500 0.500 Al
0.000 0.500 0.000 Sr
0.000 0.000 0.500 Pd
0.500 0.000 0.000 Pd
0.000 0.000 0.000 Cs
```

Calculated values
**M_tot**: 0.0 μB per cell
**VASP energy**: -0.16325 Ry per atom
**Energy of formation**: 5.6 eV/f.u.